The following is a DFT calculation (PBE) of a relaxed NaCa3Tb2Se6 crystal.

raw formation energy = -1.864 eV/atom

Lattice parameters (Å, degrees): 7.2266 7.2266 7.2220 99.61 99.61 119.95
Fractional coordinates of all 12 atoms:
Se 0.7412 0.7412 0.2453
Se 0.4232 0.0824 0.2463
Se 0.5768 0.9176 0.7537
Na 0.0000 0.0000 0.0000
Se 0.9176 0.5768 0.7537
Tb 0.3329 0.6671 0.0000
Tb 0.6671 0.3329 0.0000
Ca 0.8358 0.1642 0.5000
Se 0.2588 0.2588 0.7547
Ca 0.5000 0.5000 0.5000
Se 0.0824 0.4232 0.2463
Ca 0.1642 0.8358 0.5000